(1)
This record from Alexandria via LeMat-Bulk describes crystalline Th2CdIr at its relaxed geometry. The functional is PBE.

POSCAR file:
```
Th2CdIr
1.0
-0.2448 3.4632 1.1659
-3.4047 -0.6406 1.1879
2.7874 -2.1096 6.8516
Th Ir Cd
2 1 1
Cartesian
0.5989 -0.4533 1.4722 Th
2.1885 -1.6563 5.3794 Th
-1.8247 1.4113 1.1769 Ir
-0.4310 0.3565 4.6027 Cd
```

Values from the calculation:
Energy relative to the lowest polymorph listed for this composition = 38.3 meV per atom
DFT formation energy = -1.75 eV per formula unit

---

(2)
This record from Alexandria via LeMat-Bulk describes crystalline Mn4BeAg at its relaxed geometry. The functional is PBE.

POSCAR file:
```
Mn4BeAg
1.0
0.6054 -4.5718 0.9337
0.6114 -1.4337 4.4397
-3.3932 -2.4260 2.1773
Mn Ag Be
4 1 1
Cartesian
-0.8137 -3.1520 2.8228 Mn
-2.5259 -4.3762 3.9215 Mn
-0.5082 -5.4591 3.2939 Mn
-0.5051 -3.8755 5.0631 Mn
-1.6323 -6.3236 5.6630 Ag
0.0000 0.0000 0.0000 Be
```

Values from the calculation:
DFT formation energy = 3.05 eV per formula unit

---

(3)
This record from Alexandria via LeMat-Bulk describes crystalline AcAl2S4 at its relaxed geometry. The functional is PBE.

POSCAR file:
```
AcAl2S4
1.0
-1.0158 -4.8339 5.3290
6.6535 -3.8817 2.7010
0.4012 2.1347 6.9665
S Al Ac
8 4 2
Cartesian
4.8094 -3.8481 10.8541 S
4.4143 -1.7449 8.0905 S
1.5233 -1.3342 2.6006 S
1.8450 -3.7865 5.7489 S
5.2100 -5.5368 7.2796 S
1.8312 -0.2888 6.0845 S
5.0095 -2.4767 4.7057 S
0.5415 -2.4116 9.2245 S
4.0771 -4.4273 5.5442 Al
2.1924 -1.0563 8.2427 Al
4.8928 -6.0066 11.6975 Al
0.8687 -1.8938 4.7537 Al
2.7823 -4.4190 8.7424 Ac
6.0556 -6.5010 14.9084 Ac
```

Values from the calculation:
Energy relative to the lowest polymorph listed for this composition = 0.0 meV per atom

---

(4)
This record from Alexandria via LeMat-Bulk describes crystalline LaNd8Sc2 at its relaxed geometry. The functional is PBE.

POSCAR file:
```
LaNd8Sc2
1.0
5.7298 1.6320 0.0000
2.6324 8.6713 0.0000
1.3162 4.3357 8.1837
Nd Sc La
8 2 1
Cartesian
4.3845 11.3944 6.1917 Nd
2.7936 4.1330 0.0000 Nd
5.4972 9.4873 3.4092 Nd
6.6100 7.5803 6.1917 Nd
5.2938 3.2446 1.9920 Nd
4.1811 5.1517 4.7745 Nd
5.5686 6.1704 0.0000 Nd
3.0684 7.0587 1.9920 Nd
2.6324 8.6714 5.0815 Sc
1.3162 4.3357 3.1022 Sc
2.8649 0.8160 0.0000 La
```

Values from the calculation:
Energy relative to the lowest polymorph listed for this composition = 32.8 meV per atom
DFT formation energy = 1.68 eV per formula unit